Entry from Alexandria: MgZn2Ni after structural relaxation (GGA-PBEsol).

The structure belongs to space group I4/mmm (No. 139); the cell edges are 3.711, 3.711 and 7.804 Å and the angles 90.00°, 90.00° and 90.00°. The distinct sites, in fractional coordinates, are Mg at (0.000, 0.000, 0.000), Zn at (0.000, 0.500, 0.250) and Ni at (0.000, 0.000, 0.500).

Its magnetization is 0.00 μB per formula unit. Its energy of formation from the pure elements is -0.17 eV per atom.